*w*
## YMg2Zr (GGA-PBE)

Data for an optimized crystal structure of YMg2Zr.

Results
- DOS(E_F): 4.62 states/eV/cell
- Size of the total moment: 0.0 μB/f.u.

abc: 3.448 5.167 5.574
angles: 90.00 90.00 90.00
Space group Pmmm (No. 47)
Asymmetric unit:
1 Y 0.000 0.000 0.000 x1
2 Mg 0.000 0.500 0.500 x1
3 Mg 0.500 0.000 0.500 x1
4 Zr 0.500 0.500 0.000 x1

***

*x*
## YMg2Zr (GGA-PBE)

Data for an optimized crystal structure of YMg2Zr.

Results
- DOS(E_F): 3.83 states/eV/cell
- Size of the total moment: 0.0 μB/f.u.

abc: 3.265 4.685 6.582
angles: 90.00 90.00 90.00
Space group Pmm2 (No. 25)
Asymmetric unit:
1 Y 0.000 0.000 0.000 x1
2 Mg 0.000 0.000 0.487 x1
3 Mg 0.500 0.500 0.738 x1
4 Zr 0.500 0.500 0.248 x1

***

Stability ranking, top and bottom: *x* is the most stable and *w* is the least stable.

***

*w*
## YMg2Zr (GGA-PBE)

Data for an optimized crystal structure of YMg2Zr.

Results
- DOS(E_F): 2.48 states/eV/cell
- Size of the total moment: 0.0 μB/f.u.

abc: 3.342 3.342 9.007
angles: 90.00 90.00 90.00
Space group P4mm (No. 99)
Asymmetric unit:
1 Y 0.000 0.000 0.000 x1
2 Mg 0.000 0.000 0.494 x1
3 Mg 0.500 0.500 0.724 x1
4 Zr 0.500 0.500 0.255 x1

***

*x*
## YMg2Zr (GGA-PBE)

Data for an optimized crystal structure of YMg2Zr.

Results
- DOS(E_F): 14.35 states/eV/cell
- Size of the total moment: 0.0 μB/f.u.

abc: 3.2330 3.2330 33.1697
angles: 90.00 90.00 120.00
Space group R-3m (No. 166, hexagonal axes)
Asymmetric unit:
1 Y 0.0000 0.0000 0.0000 x3
2 Mg 0.0000 0.0000 0.2466 x6
3 Zr 0.0000 0.0000 0.5000 x3

***

*y*
## YMg2Zr (GGA-PBE)

Data for an optimized crystal structure of YMg2Zr.

Results
- DOS(E_F): 7.57 states/eV/cell
- Size of the total moment: 0.0 μB/f.u.

abc: 3.475 5.170 11.084
angles: 90.00 90.00 90.00
Space group Immm (No. 71)
Asymmetric unit:
1 Y 0.000 0.000 0.000 x2
2 Mg 0.000 0.500 0.240 x4
3 Zr 0.000 0.000 0.500 x2

***

*z*
## YMg2Zr (GGA-PBE)

Data for an optimized crystal structure of YMg2Zr.

Results
- DOS(E_F): 17.47 states/eV/cell
- Size of the total moment: 0.0 μB/f.u.

abc: 8.365 8.365 5.882
angles: 90.00 90.00 90.00
Space group I-42d (No. 122)
Asymmetric unit:
1 Y 0.000 0.000 0.000 x4
2 Mg 0.237 0.250 0.625 x8
3 Zr 0.000 0.000 0.500 x4

***

Stability ranking, top and bottom: *w* is the most stable and *z* is the least stable.

***

*w*
## YMg2Zr (GGA-PBE)

Data for an optimized crystal structure of YMg2Zr.

Results
- DOS(E_F): 4.60 states/eV/cell
- Size of the total moment: 0.0 μB/f.u.

abc: 3.222 4.937 6.453
angles: 90.00 104.36 90.00
Space group Pm (No. 6)
Asymmetric unit:
1 Y 0.000 0.000 0.000 x1
2 Mg 0.257 0.000 0.503 x1
3 Mg 0.378 0.500 0.760 x1
4 Zr 0.645 0.500 0.287 x1

***

*x*
## YMg2Zr (GGA-PBE)

Data for an optimized crystal structure of YMg2Zr.

Results
- DOS(E_F): 7.86 states/eV/cell
- Size of the total moment: 0.0 μB/f.u.

abc: 11.499 3.377 5.522
angles: 90.00 113.21 90.00
Space group Cm (No. 8)
Asymmetric unit:
1 Y 0.000 0.000 0.000 x2
2 Mg 0.002 0.500 0.501 x2
3 Mg 0.237 0.000 0.658 x2
4 Zr 0.257 0.500 0.176 x2

***

*y*
## YMg2Zr (GGA-PBE)

Data for an optimized crystal structure of YMg2Zr.

Results
- DOS(E_F): 23.51 states/eV/cell
- Size of the total moment: 2.3 μB/f.u.

abc: 7.403 7.403 7.403
angles: 90.00 90.00 90.00
Space group F-43m (No. 216)
Asymmetric unit:
1 Y 0.000 0.000 0.000 x4
2 Mg 0.000 0.000 0.500 x4
3 Mg 0.250 0.250 0.250 x4
4 Zr 0.250 0.250 0.750 x4

***

Stability ranking, top and bottom: *x* is the most stable and *y* is the least stable.

***

*w*
## YMg2Zr (GGA-PBE)

Data for an optimized crystal structure of YMg2Zr.

Results
- DOS(E_F): 4.24 states/eV/cell
- Size of the total moment: 0.0 μB/f.u.

abc: 3.094 5.516 5.873
angles: 90.00 98.36 90.00
Space group P2/m (No. 10)
Asymmetric unit:
1 Y 0.000 0.000 0.000 x1
2 Mg 0.269 0.500 0.737 x2
3 Zr 0.500 0.000 0.500 x1

***

*x*
## YMg2Zr (GGA-PBE)

Data for an optimized crystal structure of YMg2Zr.

Results
- DOS(E_F): 4.38 states/eV/cell
- Size of the total moment: 0.0 μB/f.u.

abc: 3.631 3.631 7.414
angles: 90.00 90.00 90.00
Space group P4/mmm (No. 123)
Asymmetric unit:
1 Y 0.000 0.000 0.000 x1
2 Mg 0.500 0.500 0.270 x2
3 Zr 0.000 0.000 0.500 x1

***

Stability ranking, top and bottom: *x* is the most stable and *w* is the least stable.

***

*w*
## YMg2Zr2 (GGA-PBE)

Data for an optimized crystal structure of YMg2Zr2.

Results
- DOS(E_F): 11.66 states/eV/cell
- Size of the total moment: 0.0 μB/f.u.

abc: 4.287 4.287 14.248
angles: 90.00 90.00 90.00
Space group I4/mmm (No. 139)
Asymmetric unit:
1 Y 0.000 0.000 0.000 x2
2 Mg 0.000 0.500 0.250 x4
3 Zr 0.000 0.000 0.406 x4

***

*x*
## YMg2Zr2 (GGA-PBE)

Data for an optimized crystal structure of YMg2Zr2.

Results
- DOS(E_F): 8.58 states/eV/cell
- Size of the total moment: 0.0 μB/f.u.

abc: 8.585 8.585 3.292
angles: 90.00 90.00 90.00
Space group P4/mbm (No. 127)
Asymmetric unit:
1 Y 0.000 0.000 0.000 x2
2 Mg 0.122 0.378 0.000 x4
3 Zr 0.174 0.674 0.500 x4

***

Stability ranking, top and bottom: *x* is the most stable and *w* is the least stable.

***

*w*
## YMgZr3 (GGA-PBE)

Data for an optimized crystal structure of YMgZr3.

Results
- DOS(E_F): 10.78 states/eV/cell
- Size of the total moment: 1.2 μB/f.u.

abc: 5.180 5.180 5.180
angles: 90.00 90.00 90.00
Space group Pm-3m (No. 221)
Asymmetric unit:
1 Y 0.000 0.000 0.000 x1
2 Mg 0.500 0.500 0.500 x1
3 Zr 0.000 0.500 0.500 x3

***

*x*
## YMgZr3 (GGA-PBE)

Data for an optimized crystal structure of YMgZr3.

Results
- DOS(E_F): 9.54 states/eV/cell
- Size of the total moment: 0.0 μB/f.u.

abc: 5.253 5.253 5.253
angles: 90.00 90.00 90.00
Space group Pm-3m (No. 221)
Asymmetric unit:
1 Y 0.000 0.000 0.000 x1
2 Mg 0.500 0.500 0.500 x1
3 Zr 0.000 0.000 0.500 x3

***

Stability ranking, top and bottom: *w* is the most stable and *x* is the least stable.

***

*w*
## Mg3Zn2 (GGA-PBE)

Data for an optimized crystal structure of Mg3Zn2.

Results
- DOS(E_F): 2.03 states/eV/cell
- Size of the total moment: 0.0 μB/f.u.

abc: 4.5814 4.5814 5.5633
angles: 90.00 90.00 120.00
Space group P-3m1 (No. 164)
Asymmetric unit:
1 Mg 0.0000 0.0000 0.0000 x1
2 Mg 0.3333 0.6667 0.3530 x2
3 Zn 0.3333 0.6667 0.8528 x2

***

*x*
## Mg3Zn2 (GGA-PBE)

Data for an optimized crystal structure of Mg3Zn2.

Results
- DOS(E_F): 9.21 states/eV/cell
- Size of the total moment: 0.0 μB/f.u.

abc: 7.623 10.431 5.401
angles: 90.00 90.00 90.00
Space group Ibam (No. 72)
Asymmetric unit:
1 Mg 0.000 0.000 0.250 x4
2 Mg 0.137 0.403 0.000 x8
3 Zn 0.231 0.334 0.500 x8

***

*y*
## Mg3Zn2 (GGA-PBE)

Data for an optimized crystal structure of Mg3Zn2.

Results
- DOS(E_F): 13.46 states/eV/cell
- Size of the total moment: 0.0 μB/f.u.

abc: 10.228 14.187 5.351
angles: 90.00 90.00 90.00
Space group Fdd2 (No. 43)
Asymmetric unit:
1 Mg 0.000 0.000 0.000 x8
2 Mg 0.049 0.397 0.004 x16
3 Zn 0.026 0.296 0.539 x16

***

*z*
## Mg3Zn2 (GGA-PBE)

Data for an optimized crystal structure of Mg3Zn2.

Results
- DOS(E_F): 9.04 states/eV/cell
- Size of the total moment: 0.0 μB/f.u.

abc: 5.9777 5.9777 19.9056
angles: 90.00 90.00 120.00
Space group R-3c (No. 167, hexagonal axes)
Asymmetric unit:
1 Mg 0.0000 0.4614 0.2500 x18
2 Zn 0.0000 0.0000 0.1892 x12

***

Stability ranking, top and bottom: *w* is the most stable and *x* is the least stable.

***

*w*
## Mg3Zn2 (GGA-PBE)

Data for an optimized crystal structure of Mg3Zn2.

Results
- DOS(E_F): 6.19 states/eV/cell
- Size of the total moment: 0.0 μB/f.u.

abc: 3.1932 3.1932 33.8940
angles: 90.00 90.00 120.00
Space group R-3m (No. 166, hexagonal axes)
Asymmetric unit:
1 Mg 0.0000 0.0000 0.0000 x3
2 Mg 0.0000 0.0000 0.2048 x6
3 Zn 0.0000 0.0000 0.3976 x6

***

*x*
## Mg3Zn2 (GGA-PBE)

Data for an optimized crystal structure of Mg3Zn2.

Results
- DOS(E_F): 3.43 states/eV/cell
- Size of the total moment: 0.0 μB/f.u.

abc: 4.473 5.534 7.937
angles: 90.00 90.00 90.00
Space group Immm (No. 71)
Asymmetric unit:
1 Mg 0.000 0.000 0.000 x2
2 Mg 0.000 0.500 0.194 x4
3 Zn 0.000 0.226 0.500 x4

***

Stability ranking, top and bottom: *x* is the most stable and *w* is the least stable.

***

*w*
## MgZn12 (GGA-PBE)

Data for an optimized crystal structure of MgZn12.

Results
- DOS(E_F): 24.08 states/eV/cell
- Size of the total moment: 0.0 μB/f.u.

abc: 10.662 10.662 10.662
angles: 90.00 90.00 90.00
Space group Fm-3m (No. 225)
Asymmetric unit:
1 Mg 0.000 0.000 0.000 x4
2 Zn 0.000 0.170 0.330 x48

***

*x*
## MgZn12 (GGA-PBE)

Data for an optimized crystal structure of MgZn12.

Results
- DOS(E_F): 5.14 states/eV/cell
- Size of the total moment: 0.0 μB/f.u.

abc: 8.846 8.846 5.252
angles: 90.00 90.00 90.00
Space group I4/mmm (No. 139)
Asymmetric unit:
1 Mg 0.000 0.000 0.000 x2
2 Zn 0.000 0.216 0.500 x8
3 Zn 0.000 0.350 0.000 x8
4 Zn 0.250 0.250 0.250 x8

***

Stability ranking, top and bottom: *x* is the most stable and *w* is the least stable.

***

*w*
## MgZn6 (GGA-PBE)

Data for an optimized crystal structure of MgZn6.

Results
- DOS(E_F): 9.33 states/eV/cell
- Size of the total moment: 0.0 μB/f.u.

abc: 6.960 6.960 6.960
angles: 90.00 90.00 90.00
Space group Im-3m (No. 229)
Asymmetric unit:
1 Mg 0.000 0.000 0.000 x2
2 Zn 0.000 0.250 0.500 x12

***

*x*
## MgZn6 (GGA-PBE)

Data for an optimized crystal structure of MgZn6.

Results
- DOS(E_F): 7.70 states/eV/cell
- Size of the total moment: 0.0 μB/f.u.

abc: 7.984 5.357 10.651
angles: 90.00 90.00 90.00
Space group Pnma (No. 62)
Asymmetric unit:
1 Mg 0.242 0.250 0.075 x4
2 Zn 0.057 0.014 0.311 x8
3 Zn 0.060 0.750 0.087 x4
4 Zn 0.107 0.250 0.519 x4
5 Zn 0.137 0.750 0.856 x4
6 Zn 0.192 0.250 0.761 x4

***

*y*
## MgZn6 (GGA-PBE)

Data for an optimized crystal structure of MgZn6.

Results
- DOS(E_F): 4.27 states/eV/cell
- Size of the total moment: 0.0 μB/f.u.

abc: 6.134 6.134 6.134
angles: 90.00 90.00 90.00
Space group Pm-3m (No. 221)
Asymmetric unit:
1 Mg 0.000 0.000 0.000 x1
2 Zn 0.196 0.500 0.500 x6

***

Stability ranking, top and bottom: *x* is the most stable and *y* is the least stable.